Record 1
Density functional theory data (PBE-GGA) for a relaxed structure of SrCoPd2.

Properties
Magnetization in μB/f.u.: 1.7
Space group: F-43m

a b c (Å): 4.7039 4.7039 4.7039
angles (deg): 60.00 60.00 60.00
Atoms (fractional coordinates):
Sr  0.0000  0.0000  0.0000
Co  0.2500  0.2500  0.2500
Pd  0.5000  0.5000  0.5000
Pd  0.7500  0.7500  0.7500

=====

Record 2
Density functional theory data (PBE-GGA) for a relaxed structure of GaPt15.

Properties
Magnetization in μB/f.u.: 0.0
Polymorph energy (0 for the lowest one) in meV/atom: 18
Space group: P2_1/m

a b c (Å): 5.5406 2.8100 45.3403
angles (deg): 90.00 90.01 90.00
Atoms (fractional coordinates):
Ga  0.1250  0.2500  0.3300
Ga  0.8750  0.7500  0.6700
Pt  0.1225  0.2500  0.7117
Pt  0.1241  0.2500  0.8013
Pt  0.1250  0.2500  0.0663
Pt  0.1250  0.2500  0.1546
Pt  0.1250  0.2500  0.2437
Pt  0.1248  0.2500  0.8896
Pt  0.1250  0.2500  0.9779
Pt  0.3725  0.7500  0.2883
Pt  0.3741  0.7500  0.1987
Pt  0.3749  0.7500  0.0221
Pt  0.3748  0.7500  0.1104
Pt  0.3750  0.7500  0.6686
Pt  0.3750  0.7500  0.7574
Pt  0.3750  0.7500  0.8455
Pt  0.3750  0.7500  0.9337
Pt  0.6250  0.2500  0.0663
Pt  0.6250  0.2500  0.1545
Pt  0.6250  0.2500  0.2426
Pt  0.6250  0.2500  0.3314
Pt  0.6252  0.2500  0.8896
Pt  0.6251  0.2500  0.9779
Pt  0.6259  0.2500  0.8013
Pt  0.6275  0.2500  0.7117
Pt  0.8750  0.7500  0.0221
Pt  0.8752  0.7500  0.1104
Pt  0.8750  0.7500  0.7563
Pt  0.8750  0.7500  0.8454
Pt  0.8750  0.7500  0.9337
Pt  0.8759  0.7500  0.1987
Pt  0.8775  0.7500  0.2883

=====

Record 3
Density functional theory data (PBE-GGA) for a relaxed structure of SrGaSnAu2.

Properties
Space group: P4/nmm

a b c (Å): 4.6847 4.6847 10.9165
angles (deg): 90.00 90.00 90.00
Atoms (fractional coordinates):
Sr  0.2500  0.2500  0.2358
Sr  0.7500  0.7500  0.7642
Ga  0.2500  0.2500  0.8888
Ga  0.7500  0.7500  0.1112
Sn  0.2500  0.7500  0.5000
Sn  0.7500  0.2500  0.5000
Au  0.2500  0.2500  0.6553
Au  0.2500  0.7500  0.0000
Au  0.7500  0.2500  0.0000
Au  0.7500  0.7500  0.3447

=====

Record 4
Density functional theory data (PBE-GGA) for a relaxed structure of GePtNO.

Properties
Magnetization in μB/f.u.: 0.0
Polymorph energy (0 for the lowest one) in meV/atom: 417
Space group: Pmc2_1

a b c (Å): 3.1036 6.0253 5.6197
angles (deg): 90.00 90.00 90.00
Atoms (fractional coordinates):
Ge  0.0000  0.1564  0.0000
Ge  0.0000  0.8436  0.5000
Pt  0.5000  0.2540  0.5264
Pt  0.5000  0.7460  0.0264
N  0.0000  0.1239  0.3417
N  0.0000  0.8761  0.8417
O  0.5000  0.3249  0.9557
O  0.5000  0.6751  0.4557

=====

Record 5
Density functional theory data (PBE-GGA) for a relaxed structure of Ho2TmSb3.

Properties
Magnetization in μB/f.u.: 0.0
Space group: P-3m1

a b c (Å): 4.3500 4.3500 10.6527
angles (deg): 90.00 90.00 120.00
Atoms (fractional coordinates):
Ho  0.3333  0.6667  0.3327
Ho  0.6667  0.3333  0.6673
Tm  0.0000  0.0000  0.0000
Sb  0.0000  0.0000  0.5000
Sb  0.3333  0.6667  0.8350
Sb  0.6667  0.3333  0.1650

=====

Record 6
Density functional theory data (PBE-GGA) for a relaxed structure of Dy2HoAl2Cd3In.

Properties
Magnetization in μB/f.u.: 0.0
Space group: Amm2

a b c (Å): 4.5519 7.3099 7.3099
angles (deg): 119.95 90.00 90.00
Atoms (fractional coordinates):
Dy  0.0000  0.2184  0.7816
Dy  0.0000  0.7816  0.2184
Ho  0.0000  0.3448  0.3448
Al  0.5000  0.1152  0.4481
Al  0.5000  0.4481  0.1152
Cd  0.5000  0.0374  0.0374
Cd  0.5000  0.5261  0.7816
Cd  0.5000  0.7816  0.5261
In  0.0000  0.7813  0.7813

=====

Record 7
Density functional theory data (PBE-GGA) for a relaxed structure of HoZr.

Properties
Magnetization in μB/f.u.: 0.0
Calculated formation energy in eV per atom: 0.07
Space group: P2_1/m

a b c (Å): 6.7824 5.3560 8.9656
angles (deg): 90.00 100.90 90.00
Atoms (fractional coordinates):
Ho  0.0301  0.2500  0.1211
Ho  0.2024  0.2500  0.7688
Ho  0.3172  0.7500  0.2293
Ho  0.6828  0.2500  0.7707
Ho  0.7976  0.7500  0.2312
Ho  0.9699  0.7500  0.8789
Zr  0.1461  0.7500  0.5502
Zr  0.3696  0.2500  0.4412
Zr  0.4749  0.7500  0.8912
Zr  0.5251  0.2500  0.1088
Zr  0.6304  0.7500  0.5588
Zr  0.8539  0.2500  0.4498

=====

Record 8
Density functional theory data (PBE-GGA) for a relaxed structure of BaNdSi.

Properties
Magnetization in μB/f.u.: 0.8
Space group: F-43m

a b c (Å): 5.3165 5.3165 5.3165
angles (deg): 60.00 60.00 60.00
Atoms (fractional coordinates):
Ba  0.0000  0.0000  0.0000
Nd  0.5000  0.5000  0.5000
Si  0.2500  0.2500  0.2500

=====

Number 1: total energy -18.45 eV/cell. Number 2: total energy -187.34 eV/cell. Number 3: total energy -36.35 eV/cell. Number 4: total energy -47.39 eV/cell. Number 5: total energy -32.58 eV/cell. Number 6: total energy -30.26 eV/cell. Number 7: total energy -77.87 eV/cell. Number 8: total energy -12.63 eV/cell.